A plane-wave DFT calculation with GGA-PBE was carried out for a geometry-optimized Pr2SmBi structure.

Calculated total energy = -19.885 eV/cell
Symmetry = P4/mmm
Energy above the lowest structure with this stoichiometry = 0.000 eV per atom
Formation enthalpy at 0 K = -431.5 meV/atom

a b c (Å): 5.0402 4.9953 4.9953
angles (deg): 90.00 90.00 90.00
Last column: nearest neighbours and their distance in Å.
Fractional coordinates of all 4 atoms:
Pr: 0.0000 0.0000 0.5000  4 Pr 3.53, 4 Bi 3.55, 4 Sm 3.55
Pr: 0.0000 0.5000 0.0000  4 Pr 3.53, 4 Bi 3.55, 4 Sm 3.55
Bi: 0.5000 0.0000 0.0000  4 Sm 3.53, 8 Pr 3.55
Sm: 0.5000 0.5000 0.5000  4 Bi 3.53, 8 Pr 3.55